## TlNiRhF6 (PBE+U)

Data for a relaxed TlNiRhF6 crystal.

Cell and atoms, written as POSCAR:
```
TlNiRhF6
1.0
-4.008 -0.062 3.586
-0.159 -3.811 3.799
3.276 3.583 3.714
Ni F Tl Rh
1 6 1 1
Direct
0.666 0.667 0.500
0.004 0.362 0.322
0.003 0.635 0.678
0.362 0.633 0.321
0.362 0.004 0.679
0.634 0.363 0.679
0.634 0.003 0.321
0.000 0.000 0.000
0.333 0.333 0.500
```

The calculated volume is 153.19 Å³ per cell. As for the magnetization: 1.87 Bohr magnetons per cell. The value obtained for the total energy is -4.45 eV/atom.